Here is crystalline SrCd4Mo at its relaxed geometry from Alexandria via LeMat-Bulk. Energies are from PBE.

The structure in CIF format:
```
data_SrCd4Mo
_symmetry_space_group_name_H-M 'P 1'
_symmetry_Int_Tables_number 1
_symmetry_space_group_name_Hall 'P 1'
_cell_length_a 5.8599
_cell_length_b 5.8599
_cell_length_c 5.8599
_cell_angle_alpha 60.00
_cell_angle_beta 60.00
_cell_angle_gamma 60.00
loop_
_atom_site_label
_atom_site_fract_x
_atom_site_fract_y
_atom_site_fract_z
_atom_site_occupancy
Sr1 0.0000 0.0000 0.0000 1
Cd1 0.1277 0.6241 0.6241 1
Cd2 0.6241 0.1277 0.6241 1
Cd3 0.6241 0.6241 0.1277 1
Cd4 0.6241 0.6241 0.6241 1
Mo1 0.2500 0.2500 0.2500 1
```

Values from the calculation:
ΔH_f (0 K), eV/atom: 0.2652
Energy, eV per atom: -2.43

---

Here is crystalline SrCd2Mo at its relaxed geometry from Alexandria via LeMat-Bulk. Energies are from PBE.

The structure in CIF format:
```
data_SrCd2Mo
_symmetry_space_group_name_H-M 'P 1'
_symmetry_Int_Tables_number 1
_symmetry_space_group_name_Hall 'P 1'
_cell_length_a 6.6731
_cell_length_b 8.7090
_cell_length_c 3.0891
_cell_angle_alpha 90.00
_cell_angle_beta 90.00
_cell_angle_gamma 90.00
loop_
_atom_site_label
_atom_site_fract_x
_atom_site_fract_y
_atom_site_fract_z
_atom_site_occupancy
Sr1 0.0000 0.0000 0.0000 1
Sr2 0.5000 0.5000 0.0000 1
Cd1 0.2500 0.2500 0.5000 1
Cd2 0.2500 0.7500 0.5000 1
Cd3 0.7500 0.2500 0.5000 1
Cd4 0.7500 0.7500 0.5000 1
Mo1 0.0000 0.5000 0.0000 1
Mo2 0.5000 0.0000 0.0000 1
```

Values from the calculation:
ΔH_f (0 K), eV/atom: 0.5171
Energy, eV per atom: -3.07

---

- Which formula does entry 1 have?
  SrCd4Mo

---

What did the second record say?
Here is crystalline SrCd2Mo at its relaxed geometry from Alexandria via LeMat-Bulk. Energies are from PBE.

The structure in CIF format:
```
data_SrCd2Mo
_symmetry_space_group_name_H-M 'P 1'
_symmetry_Int_Tables_number 1
_symmetry_space_group_name_Hall 'P 1'
_cell_length_a 6.6731
_cell_length_b 8.7090
_cell_length_c 3.0891
_cell_angle_alpha 90.00
_cell_angle_beta 90.00
_cell_angle_gamma 90.00
loop_
_atom_site_label
_atom_site_fract_x
_atom_site_fract_y
_atom_site_fract_z
_atom_site_occupancy
Sr1 0.0000 0.0000 0.0000 1
Sr2 0.5000 0.5000 0.0000 1
Cd1 0.2500 0.2500 0.5000 1
Cd2 0.2500 0.7500 0.5000 1
Cd3 0.7500 0.2500 0.5000 1
Cd4 0.7500 0.7500 0.5000 1
Mo1 0.0000 0.5000 0.0000 1
Mo2 0.5000 0.0000 0.0000 1
```

Values from the calculation:
ΔH_f (0 K), eV/atom: 0.5171
Energy, eV per atom: -3.07